This record from the Alexandria database describes Li3Mn3SiO8 after structural relaxation. The functional is PBE+U.

Geometry as POSCAR:
```
Li3Mn3SiO8
1.0
5.269 0.000 0.000
0.000 5.664 0.000
-1.985 0.000 4.945
Li Mn Si O
3 3 1 8
Cartesian
0.000 0.000 0.000
-0.993 1.465 2.473
-0.993 4.198 2.473
1.642 0.000 2.473
2.635 1.424 0.000
2.635 4.239 0.000
1.642 2.832 2.473
-0.169 0.000 3.893
0.894 1.505 1.482
0.894 4.158 1.482
0.179 2.832 3.630
3.105 2.832 1.315
2.390 1.505 3.464
2.390 4.158 3.464
3.453 0.000 1.052
```

Space-group type: P2/m, No. 10
Size of the total moment, μB per atom: 0.800
E_tot, eV per cell: -102.4